# NbCo

A relaxed NbCo crystal (PBE-GGA, Alexandria via LeMat-Bulk).

Properties
ΔH_f (0 K): 0.0 eV per formula unit
D(E_F): 4.59 states/eV/cell
Theoretical density: 8.7 g/cm³
Uncorrected energy: -8.610 eV per atom

Cell lengths 3.1876, 3.1590, 6.5778 Å; angles 90.00, 61.02, 90.00 degrees
With the nearest neighbours (Å) after each atom.
Fractional coordinates of all 4 atoms:
Co 0.3788 0.2500 0.3713  5 Nb 2.54-2.68, 4 Co 2.69
Co 0.6212 0.7500 0.6287  5 Nb 2.54-2.68, 4 Co 2.69
Nb 0.9131 0.2500 0.8369  5 Co 2.54-2.68
Nb 0.0869 0.7500 0.1631  5 Co 2.54-2.68